A) Entry from Alexandria via LeMat-Bulk: MgMo2P2 after structural relaxation (GGA-PBE).

Lattice parameters (Å, degrees): 6.873 6.873 3.110 90.00 90.00 90.00
Space group P4/mbm (No. 127)
One atom of each set of equivalent atoms:
1 Mg 0.000 0.000 0.000 (multiplicity 2)
2 Mo 0.149 0.351 0.500 (multiplicity 4)
3 P 0.142 0.642 0.000 (multiplicity 4)

B) Entry from Alexandria via LeMat-Bulk: MgMo2P2 after structural relaxation (GGA-PBE).

Lattice parameters (Å, degrees): 4.549 4.549 8.573 90.00 90.00 90.00
Space group I4/mmm (No. 139)
One atom of each set of equivalent atoms:
1 Mg 0.000 0.000 0.000 (multiplicity 2)
2 Mo 0.000 0.000 0.367 (multiplicity 4)
3 P 0.000 0.500 0.250 (multiplicity 4)

Which structure loses on stability? B) does.

A) Entry from Alexandria via LeMat-Bulk: MgMoP2S after structural relaxation (GGA-PBE).

Lattice parameters (Å, degrees): 4.677 4.677 4.712 90.00 90.00 90.00
Space group P4/mmm (No. 123)
One atom of each set of equivalent atoms:
1 Mg 0.000 0.000 0.000 (multiplicity 1)
2 Mo 0.500 0.500 0.500 (multiplicity 1)
3 P 0.000 0.500 0.000 (multiplicity 2)
4 S 0.000 0.000 0.500 (multiplicity 1)

B) Entry from Alexandria via LeMat-Bulk: MgMoP2S after structural relaxation (GGA-PBE).

Lattice parameters (Å, degrees): 4.689 4.689 4.799 90.00 90.00 90.00
Space group P4/mmm (No. 123)
One atom of each set of equivalent atoms:
1 Mg 0.000 0.000 0.000 (multiplicity 1)
2 Mo 0.500 0.500 0.500 (multiplicity 1)
3 P 0.000 0.500 0.500 (multiplicity 2)
4 S 0.500 0.500 0.000 (multiplicity 1)

Which structure loses on stability? A) does.